! K2TiGaSe5 | Alexandria via LeMat-Bulk | PBE | relaxed; values from VASP
! symmetry: Cmc2_1, No. 36
! final energy: -77.94 eV/cell
! ΔE_f (raw): -90.4 kJ/mol of atoms
&SYSTEM
  ibrav = 0, nat = 18, ntyp = 4
/
ATOMIC_SPECIES
K 39.10 K.upf
Ti 47.87 Ti.upf
Ga 69.72 Ga.upf
Se 78.96 Se.upf
ATOMIC_POSITIONS angstrom
K 1.885 7.217 11.547
K 0.000 2.528 9.789
K 0.000 2.653 4.471
K 1.885 7.342 2.714
Ti 1.885 5.636 7.350
Ti 0.000 4.234 0.274
Ga 1.885 1.402 13.173
Ga 0.000 8.468 6.097
Se 0.000 6.587 0.101
Se 1.885 3.824 12.572
Se 1.885 0.105 11.199
Se 0.000 5.894 9.038
Se 1.885 8.552 7.648
Se 1.885 3.283 7.177
Se 0.000 6.046 5.496
Se 0.000 9.765 4.123
Se 1.885 3.976 1.962
Se 0.000 1.318 0.572
CELL_PARAMETERS angstrom
3.770 0.000 0.000
-1.885 9.870 0.000
0.000 0.000 14.151